Entry from the Alexandria database: a relaxed structure of La3Pm (PBE-GGA).

Summary:
**V**: 144.5 Å³ per cell
**Final energy**: -4.87 eV/atom
**ΔE_f**: 15 meV per atom

Lattice parameters (Å, degrees): 5.244 5.244 6.431 114.06 114.06 90.00
Atoms (fractional coordinates):
La 0.250 0.750 0.500
Pm 0.000 0.000 0.000
La 0.750 0.250 0.500
La 0.500 0.500 0.000